No. 1
Material: Hf2TiTeF
Method: DFT, PBE
State: relaxed

Properties
* D(E_F): 4.6 states/eV/f.u.
* space-group type: P4/mmm (123)
* formation energy without anion corrections: -54.36 kJ/mol of atoms

a = 4.2946 Å, b = 5.2385 Å, c = 4.2946 Å
α = 90.00°, β = 90.00°, γ = 90.00°
Fractional coordinates of all 5 atoms:
F (0.0000, 0.0000, 0.0000)
Ti (0.5000, 0.5000, 0.5000)
Te (0.0000, 0.5000, 0.0000)
Hf (0.0000, 0.0000, 0.5000)
Hf (0.5000, 0.0000, 0.0000)

***

No. 2
Material: EuHoGaPb
Method: DFT, PBE
State: relaxed

Properties
* D(E_F): 2.0 states/eV/f.u.
* space-group type: F-43m (216)
* formation enthalpy at 0 K: -167 kJ/mol of formula units

a = 5.3653 Å, b = 5.3653 Å, c = 5.3653 Å
α = 60.00°, β = 60.00°, γ = 60.00°
Fractional coordinates of all 4 atoms:
Ga (0.2500, 0.2500, 0.2500)
Ho (0.5000, 0.5000, 0.5000)
Eu (0.0000, 0.0000, 0.0000)
Pb (0.7500, 0.7500, 0.7500)

***

No. 3
Material: UHg2Pd8
Method: DFT, PBE
State: relaxed

Properties
* D(E_F): 9.6 states/eV/f.u.
* space-group type: P-1 (2)
* formation enthalpy at 0 K: -240 kJ/mol of formula units

a = 4.2798 Å, b = 6.1278 Å, c = 7.7646 Å
α = 78.33°, β = 105.89°, γ = 89.91°
Fractional coordinates of all 11 atoms:
Hg (0.1550, 0.7999, 0.3097)
Pd (0.6687, 0.0957, 0.3377)
Pd (0.5874, 0.5654, 0.1746)
Pd (0.7781, 0.6492, 0.5558)
Pd (0.2219, 0.3508, 0.4442)
Pd (0.4126, 0.4346, 0.8254)
Hg (0.8450, 0.2001, 0.6903)
Pd (0.9579, 0.7307, 0.9147)
Pd (0.0421, 0.2693, 0.0853)
U (0.5000, 0.0000, 0.0000)
Pd (0.3313, 0.9043, 0.6623)